Entry 1:
# Tb4Sm2DyMg | Alexandria | PBE | optimized geometry
# Volume in Å³ per cell: 250.6
# Energy of formation from the pure elements in eV per atom: 0.02
# Calculated total energy in eV/atom: -4.25
# Total moment in μB/f.u.: 0.00
data_Tb4Sm2DyMg
_chemical_formula_sum 'Tb4 Sm2 Dy1 Mg1'
_space_group_name_H-M_alt 'P m m m'
_space_group_IT_number 47
_space_group_name_Hall '-P 2 2'
_cell_length_a 4.972
_cell_length_b 4.986
_cell_length_c 10.107
_cell_angle_alpha 90.00
_cell_angle_beta 90.00
_cell_angle_gamma 90.00
loop_
_atom_site_label
_atom_site_type_symbol
_atom_site_fract_x
_atom_site_fract_y
_atom_site_fract_z
_atom_site_occupancy
Tb1 Tb 0.000 0.000 0.249 1
Tb2 Tb 0.500 0.500 0.249 1
Sm1 Sm 0.000 0.500 0.000 1
Sm2 Sm 0.500 0.000 0.500 1
Dy1 Dy 0.000 0.500 0.500 1
Mg1 Mg 0.500 0.000 0.000 1


Entry 2:
# La2Pm3Ga4 | Alexandria | PBE | optimized geometry
# Volume in Å³ per cell: 504.2
# Energy of formation from the pure elements in eV per atom: -0.54
# Calculated total energy in eV/atom: -4.57
# Total moment in μB/f.u.: 0.00
# ΔE to the lowest computed polymorph in meV per atom: 0
data_La2Pm3Ga4
_chemical_formula_sum 'La4 Pm6 Ga8'
_space_group_name_H-M_alt 'P 1 21/c 1'
_space_group_IT_number 14
_space_group_name_Hall '-P 2ybc'
_cell_length_a 8.258
_cell_length_b 8.230
_cell_length_c 7.716
_cell_angle_alpha 90.00
_cell_angle_beta 105.97
_cell_angle_gamma 90.00
loop_
_atom_site_label
_atom_site_type_symbol
_atom_site_fract_x
_atom_site_fract_y
_atom_site_fract_z
_atom_site_occupancy
La1 La 0.189 0.181 0.072 1
Pm1 Pm 0.238 0.675 0.252 1
Pm2 Pm 0.500 0.000 0.500 1
Ga1 Ga 0.079 0.532 0.871 1
Ga2 Ga 0.493 0.119 0.882 1


Entry 3:
# V3AsOs | Alexandria | PBE | optimized geometry
# Volume in Å³ per cell: 83.7
# Energy of formation from the pure elements in eV per atom: 0.99
# Calculated total energy in eV/atom: -7.66
# Total moment in μB/f.u.: 0.03
data_V3AsOs
_chemical_formula_sum 'V3 As1 Os1'
_space_group_name_H-M_alt 'P m -3 m'
_space_group_IT_number 221
_space_group_name_Hall '-P 4 2 3'
_cell_length_a 4.374
_cell_length_b 4.374
_cell_length_c 4.374
_cell_angle_alpha 90.00
_cell_angle_beta 90.00
_cell_angle_gamma 90.00
loop_
_atom_site_label
_atom_site_type_symbol
_atom_site_fract_x
_atom_site_fract_y
_atom_site_fract_z
_atom_site_occupancy
V1 V 0.000 0.000 0.500 1
As1 As 0.000 0.000 0.000 1
Os1 Os 0.500 0.500 0.500 1


Entry 4:
# Be2Cu2Pt | Alexandria | PBE | optimized geometry
# Volume in Å³ per cell: 116.6
# Energy of formation from the pure elements in eV per atom: 0.05
# Calculated total energy in eV/atom: -4.28
# Total moment in μB/f.u.: 0.00
# ΔE to the lowest computed polymorph in meV per atom: 290
data_Be2Cu2Pt
_chemical_formula_sum 'Be4 Cu4 Pt2'
_space_group_name_H-M_alt 'I 4/m m m'
_space_group_IT_number 139
_space_group_name_Hall '-I 4 2'
_cell_length_a 2.915
_cell_length_b 2.915
_cell_length_c 13.721
_cell_angle_alpha 90.00
_cell_angle_beta 90.00
_cell_angle_gamma 90.00
loop_
_atom_site_label
_atom_site_type_symbol
_atom_site_fract_x
_atom_site_fract_y
_atom_site_fract_z
_atom_site_occupancy
Be1 Be 0.000 0.500 0.250 1
Cu1 Cu 0.000 0.000 0.123 1
Pt1 Pt 0.000 0.000 0.500 1


Entry 5:
# NdHo6Sc | Alexandria | PBE | optimized geometry
# Volume in Å³ per cell: 245.6
# Energy of formation from the pure elements in eV per atom: 0.04
# Calculated total energy in eV/atom: -4.78
# Total moment in μB/f.u.: 0.00
# ΔE to the lowest computed polymorph in meV per atom: 6
data_NdHo6Sc
_chemical_formula_sum 'Nd1 Ho6 Sc1'
_space_group_name_H-M_alt 'P 4/m m m'
_space_group_IT_number 123
_space_group_name_Hall '-P 4 2'
_cell_length_a 4.981
_cell_length_b 4.981
_cell_length_c 9.897
_cell_angle_alpha 90.00
_cell_angle_beta 90.00
_cell_angle_gamma 90.00
loop_
_atom_site_label
_atom_site_type_symbol
_atom_site_fract_x
_atom_site_fract_y
_atom_site_fract_z
_atom_site_occupancy
Nd1 Nd 0.000 0.000 0.000 1
Ho1 Ho 0.000 0.500 0.257 1
Ho2 Ho 0.500 0.500 0.000 1
Ho3 Ho 0.500 0.500 0.500 1
Sc1 Sc 0.000 0.000 0.500 1


Entry 6:
# NdHo6Tm2Sc | Alexandria | PBE | optimized geometry
# Volume in Å³ per cell: 1239.9
# Energy of formation from the pure elements in eV per atom: 0.13
# Calculated total energy in eV/atom: -4.62
# Total moment in μB/f.u.: 0.00
data_NdHo6Tm2Sc
_chemical_formula_sum 'Nd4 Ho24 Tm8 Sc4'
_space_group_name_H-M_alt 'C 1 2/c 1'
_space_group_IT_number 15
_space_group_name_Hall '-C 2yc'
_cell_length_a 9.246
_cell_length_b 15.446
_cell_length_c 8.685
_cell_angle_alpha 90.00
_cell_angle_beta 91.54
_cell_angle_gamma 90.00
loop_
_atom_site_label
_atom_site_type_symbol
_atom_site_fract_x
_atom_site_fract_y
_atom_site_fract_z
_atom_site_occupancy
Nd1 Nd 0.000 0.034 0.250 1
Ho1 Ho 0.039 0.172 0.947 1
Ho2 Ho 0.105 0.372 0.093 1
Ho3 Ho 0.248 0.209 0.294 1
Tm1 Tm 0.233 0.443 0.441 1
Sc1 Sc 0.000 0.440 0.750 1


Entry 7:
# Dy2Al3Ga2 | Alexandria | PBE | optimized geometry
# Volume in Å³ per cell: 282.7
# Energy of formation from the pure elements in eV per atom: -0.48
# Calculated total energy in eV/atom: -4.27
# Total moment in μB/f.u.: 0.00
# ΔE to the lowest computed polymorph in meV per atom: 0
data_Dy2Al3Ga2
_chemical_formula_sum 'Dy4 Al6 Ga4'
_space_group_name_H-M_alt 'C 1 2/m 1'
_space_group_IT_number 12
_space_group_name_Hall '-C 2y'
_cell_length_a 10.451
_cell_length_b 4.180
_cell_length_c 6.582
_cell_angle_alpha 90.00
_cell_angle_beta 100.53
_cell_angle_gamma 90.00
loop_
_atom_site_label
_atom_site_type_symbol
_atom_site_fract_x
_atom_site_fract_y
_atom_site_fract_z
_atom_site_occupancy
Dy1 Dy 0.119 0.000 0.326 1
Al1 Al 0.000 0.500 0.000 1
Al2 Al 0.198 0.000 0.865 1
Ga1 Ga 0.095 0.500 0.648 1


Entry 8:
# Li2UAuS4 | Alexandria | PBE | optimized geometry
# Uncorrected formation energy in eV/atom: -0.8262
# Volume in Å³ per cell: 293.8
# Calculated total energy in eV/atom: -5.19
# Total moment in μB/f.u.: 0.98
data_Li2UAuS4
_chemical_formula_sum 'Li4 U2 Au2 S8'
_space_group_name_H-M_alt 'I -4 2 m'
_space_group_IT_number 121
_space_group_name_Hall 'I -4 2'
_cell_length_a 6.754
_cell_length_b 6.754
_cell_length_c 6.441
_cell_angle_alpha 90.00
_cell_angle_beta 90.00
_cell_angle_gamma 90.00
loop_
_atom_site_label
_atom_site_type_symbol
_atom_site_fract_x
_atom_site_fract_y
_atom_site_fract_z
_atom_site_occupancy
Li1 Li 0.000 0.500 0.000 1
U1 U 0.000 0.000 0.000 1
Au1 Au 0.000 0.000 0.500 1
S1 S 0.208 0.208 0.259 1


Entry 9:
# BaSmEr2 | Alexandria | PBE | optimized geometry
# Volume in Å³ per cell: 147.2
# Energy of formation from the pure elements in eV per atom: 0.17
# Calculated total energy in eV/atom: -3.78
# Total moment in μB/f.u.: 0.00
# ΔE to the lowest computed polymorph in meV per atom: 0
data_BaSmEr2
_chemical_formula_sum 'Ba1 Sm1 Er2'
_space_group_name_H-M_alt 'P 4/m m m'
_space_group_IT_number 123
_space_group_name_Hall '-P 4 2'
_cell_length_a 3.700
_cell_length_b 3.700
_cell_length_c 10.751
_cell_angle_alpha 90.00
_cell_angle_beta 90.00
_cell_angle_gamma 90.00
loop_
_atom_site_label
_atom_site_type_symbol
_atom_site_fract_x
_atom_site_fract_y
_atom_site_fract_z
_atom_site_occupancy
Ba1 Ba 0.000 0.000 0.000 1
Sm1 Sm 0.000 0.000 0.500 1
Er1 Er 0.500 0.500 0.282 1


Entry 10:
# LiCePa | Alexandria | PBE | optimized geometry
# Volume in Å³ per cell: 145.7
# Energy of formation from the pure elements in eV per atom: 0.08
# Calculated total energy in eV/atom: -5.70
# Total moment in μB/f.u.: 0.00
# ΔE to the lowest computed polymorph in meV per atom: 0
data_LiCePa
_chemical_formula_sum 'Li2 Ce2 Pa2'
_space_group_name_H-M_alt 'P 4/n m m'
_space_group_IT_number 129
_cell_length_a 3.166
_cell_length_b 3.166
_cell_length_c 14.538
_cell_angle_alpha 90.00
_cell_angle_beta 90.00
_cell_angle_gamma 90.00
loop_
_space_group_symop_operation_xyz
'x,y,z'
'-x,-y,-z'
'-y+1/2,x,z'
'y+1/2,-x,-z'
'-x+1/2,-y+1/2,z'
'x+1/2,y+1/2,-z'
'y,-x+1/2,z'
'-y,x+1/2,-z'
'x+1/2,-y,-z'
'-x+1/2,y,z'
'-y,-x,-z'
'y,x,z'
'-x,y+1/2,-z'
'x,-y+1/2,z'
'y+1/2,x+1/2,-z'
'-y+1/2,-x+1/2,z'
loop_
_atom_site_label
_atom_site_type_symbol
_atom_site_fract_x
_atom_site_fract_y
_atom_site_fract_z
_atom_site_occupancy
Li1 Li 0.250 0.250 0.067 1
Ce1 Ce 0.250 0.250 0.753 1
Pa1 Pa 0.250 0.250 0.416 1


Entry 11:
# TaIrI2N | Alexandria | PBE | optimized geometry
# Uncorrected formation energy in eV/atom: 1.0627
# Volume in Å³ per cell: 115.4
# Calculated total energy in eV/atom: -5.37
# Total moment in μB/f.u.: 2.57
# ΔE to the lowest computed polymorph in meV per atom: 63
data_TaIrI2N
_chemical_formula_sum 'Ta1 Ir1 I2 N1'
_space_group_name_H-M_alt 'P 4/m m m'
_space_group_IT_number 123
_space_group_name_Hall '-P 4 2'
_cell_length_a 5.619
_cell_length_b 5.619
_cell_length_c 3.653
_cell_angle_alpha 90.00
_cell_angle_beta 90.00
_cell_angle_gamma 90.00
loop_
_atom_site_label
_atom_site_type_symbol
_atom_site_fract_x
_atom_site_fract_y
_atom_site_fract_z
_atom_site_occupancy
Ta1 Ta 0.000 0.000 0.000 1
Ir1 Ir 0.500 0.500 0.500 1
I1 I 0.000 0.500 0.500 1
N1 N 0.500 0.500 0.000 1


Entry 12:
# KTl2InCl4 | Alexandria | PBE | optimized geometry
# Uncorrected formation energy in eV/atom: -1.1977
# Volume in Å³ per cell: 269.3
# Calculated total energy in eV/atom: -3.19
# Total moment in μB/f.u.: 0.00
data_KTl2InCl4
_chemical_formula_sum 'K1 Tl2 In1 Cl4'
_space_group_name_H-M_alt 'P 1 2/m 1'
_space_group_IT_number 10
_space_group_name_Hall '-P 2y'
_cell_length_a 7.900
_cell_length_b 4.566
_cell_length_c 7.913
_cell_angle_alpha 90.00
_cell_angle_beta 109.38
_cell_angle_gamma 90.00
loop_
_atom_site_label
_atom_site_type_symbol
_atom_site_fract_x
_atom_site_fract_y
_atom_site_fract_z
_atom_site_occupancy
K1 K 0.000 0.000 0.000 1
Tl1 Tl 0.500 0.000 0.500 1
Tl2 Tl 0.500 0.500 0.000 1
In1 In 0.000 0.500 0.500 1
Cl1 Cl 0.243 0.500 0.245 1
Cl2 Cl 0.245 0.000 0.751 1


Entry 13:
# Ba2LiCu | Alexandria | PBE | optimized geometry
# Volume in Å³ per cell: 493.6
# Energy of formation from the pure elements in eV per atom: 0.24
# Calculated total energy in eV/atom: -2.23
# Total moment in μB/f.u.: 0.00
data_Ba2LiCu
_chemical_formula_sum 'Ba8 Li4 Cu4'
_space_group_name_H-M_alt 'F -4 3 m'
_space_group_IT_number 216
_space_group_name_Hall 'F -4 2 3'
_cell_length_a 7.903
_cell_length_b 7.903
_cell_length_c 7.903
_cell_angle_alpha 90.00
_cell_angle_beta 90.00
_cell_angle_gamma 90.00
loop_
_atom_site_label
_atom_site_type_symbol
_atom_site_fract_x
_atom_site_fract_y
_atom_site_fract_z
_atom_site_occupancy
Ba1 Ba 0.000 0.000 0.000 1
Ba2 Ba 0.250 0.250 0.250 1
Li1 Li 0.250 0.250 0.750 1
Cu1 Cu 0.000 0.000 0.500 1


Entry 14:
# SeSBr | Alexandria | PBE | optimized geometry
# Uncorrected formation energy in eV/atom: 0.2828
# Volume in Å³ per cell: 81.3
# Calculated total energy in eV/atom: -2.81
# Total moment in μB/f.u.: 0.00
# ΔE to the lowest computed polymorph in meV per atom: 282
data_SeSBr
_chemical_formula_sum 'Se1 S1 Br1'
_space_group_name_H-M_alt 'P 3 m 1'
_space_group_IT_number 156
_space_group_name_Hall 'P 3 -2"'
_cell_length_a 3.9585
_cell_length_b 3.9585
_cell_length_c 5.9926
_cell_angle_alpha 90.00
_cell_angle_beta 90.00
_cell_angle_gamma 120.00
loop_
_atom_site_label
_atom_site_type_symbol
_atom_site_fract_x
_atom_site_fract_y
_atom_site_fract_z
_atom_site_occupancy
Se1 Se 0.0000 0.0000 0.0000 1
S1 S 0.6667 0.3333 0.1725 1
Br1 Br 0.3333 0.6667 0.6945 1